Entry 1:
# RbBaAg

A geometry-optimized RbBaAg structure (PBE-GGA, OQMD).

Lattice parameters (Å, degrees): 5.868 5.868 5.868 60.00 60.00 60.00
Sites, in units of the cell vectors:
Rb 0.750 0.750 0.750
Ag 0.000 0.000 0.000
Ba 0.250 0.250 0.250

Values from the calculation:
Space group: F-43m, No. 216
E above lowest polymorph in eV per formula unit: 0.00

***

Entry 2:
# Tb3SnPb6

A geometry-optimized Tb3SnPb6 structure (PBE-GGA, OQMD).

Lattice parameters (Å, degrees): 13.712 13.712 4.615 90.00 90.00 160.91
Sites, in units of the cell vectors:
Pb 0.097 0.903 0.500
Tb 0.809 0.191 0.000
Pb 0.404 0.596 0.000
Sn 0.000 0.000 0.000
Pb 0.596 0.404 0.000
Tb 0.191 0.809 0.000
Tb 0.500 0.500 0.500
Pb 0.291 0.709 0.500
Pb 0.709 0.291 0.500
Pb 0.903 0.097 0.500

Values from the calculation:
Space group: Cmmm, No. 65
Total energy in eV per atom: -4.384

***

Entry 3:
# SmMgHgAu

A geometry-optimized SmMgHgAu structure (PBE-GGA, OQMD).

Lattice parameters (Å, degrees): 5.037 5.037 5.037 60.00 60.00 60.00
Sites, in units of the cell vectors:
Au 0.750 0.750 0.750
Mg 0.000 0.000 0.000
Sm 0.500 0.500 0.500
Hg 0.250 0.250 0.250

Values from the calculation:
Space group: F-43m, No. 216
Total energy in eV per atom: -3.067